Er3Tm2Hg6 | PBE | relaxed

Cell lengths 5.054, 5.054, 13.548 Å; angles 100.75, 100.75, 90.00 degrees
Sites, in units of the cell vectors:
Er  0.000  0.000  0.000
Er  0.861  0.861  0.723
Er  0.139  0.139  0.277
Tm  0.372  0.372  0.743
Tm  0.628  0.628  0.257
Hg  0.067  0.567  0.133
Hg  0.567  0.067  0.133
Hg  0.933  0.433  0.867
Hg  0.433  0.933  0.867
Hg  0.744  0.744  0.488
Hg  0.256  0.256  0.512

Computed properties:
- Calculated formation energy: -2.16 kcal/mol of atoms
- Size of the total moment: 0.00 μB/f.u.
- Theoretical density: 10165 kg/m3
- D(E_F): 6.1 states/eV/cell